1.
{
  "formula": "KMg4Ag3F12",
  "functional": "GGA-PBE",
  "state": "optimized geometry",
  "lattice_angstrom": [[-3.994, 3.994, 3.994], [3.994, -3.994, 3.994], [3.994, 3.994, -3.994]],
  "species": ["K", "Mg", "Mg", "Mg", "Mg", "Ag", "Ag", "Ag", "F", "F", "F", "F", "F", "F", "F", "F", "F", "F", "F", "F"],
  "frac_coords": [[0.000, 0.000, 0.000], [0.000, 0.000, 0.500], [0.000, 0.500, 0.000], [0.500, 0.000, 0.000], [0.500, 0.500, 0.500], [0.000, 0.500, 0.500], [0.500, 0.000, 0.500], [0.500, 0.500, 0.000], [0.055, 0.276, 0.780], [0.220, 0.496, 0.276], [0.220, 0.945, 0.724], [0.276, 0.220, 0.496], [0.276, 0.780, 0.055], [0.496, 0.276, 0.220], [0.504, 0.724, 0.780], [0.724, 0.220, 0.945], [0.724, 0.780, 0.504], [0.780, 0.055, 0.276], [0.780, 0.504, 0.724], [0.945, 0.724, 0.220]],
  "total_energy_ev_per_cell": -92.70,
  "spacegroup": "Im-3, No. 204",
  "n_ef_per_ev_atom": 0.0000,
  "volume_a3_per_fu": 254.76
}



2.
{
  "formula": "K4Mg3AgF12",
  "functional": "GGA-PBE",
  "state": "optimized geometry",
  "lattice_angstrom": [[-4.150, 4.150, 4.150], [4.150, -4.150, 4.150], [4.150, 4.150, -4.150]],
  "species": ["K", "K", "K", "K", "Mg", "Mg", "Mg", "Ag", "F", "F", "F", "F", "F", "F", "F", "F", "F", "F", "F", "F"],
  "frac_coords": [[0.000, 0.000, 0.500], [0.000, 0.500, 0.000], [0.500, 0.000, 0.000], [0.500, 0.500, 0.500], [0.000, 0.500, 0.500], [0.500, 0.000, 0.500], [0.500, 0.500, 0.000], [0.000, 0.000, 0.000], [0.000, 0.265, 0.265], [0.000, 0.735, 0.735], [0.250, 0.500, 0.750], [0.250, 0.750, 0.500], [0.265, 0.000, 0.265], [0.265, 0.265, 0.000], [0.500, 0.250, 0.750], [0.500, 0.750, 0.250], [0.735, 0.000, 0.735], [0.735, 0.735, 0.000], [0.750, 0.250, 0.500], [0.750, 0.500, 0.250]],
  "total_energy_ev_per_cell": -92.44,
  "spacegroup": "Im-3m, No. 229",
  "n_ef_per_ev_atom": 0.3298,
  "volume_a3_per_fu": 285.95
}